CaRh2 | GGA-PBEsol | optimized geometry

The calculation puts the formation enthalpy at 0 K at -44 meV/atom.

Lattice parameters (Å, degrees): 2.862 3.870 5.446 110.81 105.23 90.00
Atoms (fractional coordinates):
Rh: 0.708 0.708 0.417
Rh: 0.292 0.292 0.583
Ca: 0.000 0.000 0.000